# PBE+U PmVIO4, optimized geometry
# Total energy (eV/f.u.): -48.8
# Size of the total moment (μB/f.u.): 0.0
data_PmVIO4
_chemical_formula_sum 'Pm4 V4 I4 O16'
_symmetry_space_group_name_H-M 'C 1 2/m 1'
_symmetry_Int_Tables_number 12
_symmetry_space_group_name_Hall '-C 2y'
_cell_length_a 12.238
_cell_length_b 6.491
_cell_length_c 6.930
_cell_angle_alpha 90.00
_cell_angle_beta 102.48
_cell_angle_gamma 90.00
loop_
_atom_site_label
_atom_site_type_symbol
_atom_site_fract_x
_atom_site_fract_y
_atom_site_fract_z
Pm1 Pm 0.203 0.000 0.333
V1 V 0.132 0.000 0.754
I1 I 0.036 0.500 0.197
O1 O 0.010 0.000 0.271
O2 O 0.177 0.209 0.623
O3 O 0.196 0.000 0.000